Entry 1:
First-principles (PBE) data for crystalline K2AgHg at its relaxed geometry, as listed in Alexandria. Values from VASP.

The structure in Quantum ESPRESSO input format:
```
&SYSTEM
  ibrav = 0, nat = 4, ntyp = 3
/
ATOMIC_SPECIES
K 39.10 K.upf
Ag 107.87 Ag.upf
Hg 200.59 Hg.upf
CELL_PARAMETERS angstrom
-2.540 2.540 5.270
2.540 -2.540 5.270
2.540 2.540 -5.270
ATOMIC_POSITIONS crystal
K 0.000 0.000 0.000
K 0.750 0.250 0.500
Ag 0.250 0.750 0.500
Hg 0.500 0.500 0.000
```

Results
- total magnetic moment (μB/cell) = 0.00
- energy relative to the elements (meV per atom) = -29
- space-group type = I-4m2, No. 119



Entry 2:
First-principles (PBE) data for crystalline NpSnPd2 at its relaxed geometry, as listed in Alexandria. Values from VASP.

The structure in Quantum ESPRESSO input format:
```
&SYSTEM
  ibrav = 0, nat = 4, ntyp = 3
/
ATOMIC_SPECIES
Np 237.00 Np.upf
Sn 118.71 Sn.upf
Pd 106.42 Pd.upf
CELL_PARAMETERS angstrom
3.195 0.000 0.000
0.000 3.195 0.000
0.000 0.000 7.642
ATOMIC_POSITIONS crystal
Np 0.000 0.000 0.000
Sn 0.000 0.000 0.500
Pd 0.500 0.500 0.277
Pd 0.500 0.500 0.723
```

Results
- total magnetic moment (μB/cell) = 4.13
- energy relative to the elements (meV per atom) = -237
- space-group type = P4/mmm, No. 123



Entry 3:
First-principles (PBE) data for crystalline Er6USe8 at its relaxed geometry, as listed in Alexandria. Values from VASP.

The structure in Quantum ESPRESSO input format:
```
&SYSTEM
  ibrav = 0, nat = 15, ntyp = 3
/
ATOMIC_SPECIES
Er 167.26 Er.upf
U 238.03 U.upf
Se 78.96 Se.upf
CELL_PARAMETERS angstrom
0.000 5.696 5.696
5.696 0.000 5.696
5.696 5.696 0.000
ATOMIC_POSITIONS crystal
Er 0.000 0.000 0.500
Er 0.000 0.500 0.000
Er 0.000 0.500 0.500
Er 0.500 0.000 0.000
Er 0.500 0.000 0.500
Er 0.500 0.500 0.000
U 0.000 0.000 0.000
Se 0.250 0.250 0.250
Se 0.257 0.257 0.743
Se 0.257 0.743 0.257
Se 0.257 0.743 0.743
Se 0.743 0.257 0.257
Se 0.743 0.257 0.743
Se 0.743 0.743 0.257
Se 0.750 0.750 0.750
```

Results
- total magnetic moment (μB/cell) = 3.78
- space-group type = Fm-3m, No. 225
- formation energy without anion corrections (eV per atom) = -1.6497



Entry 4:
First-principles (PBE) data for crystalline CoNiBi2 at its relaxed geometry, as listed in Alexandria. Values from VASP.

The structure in Quantum ESPRESSO input format:
```
&SYSTEM
  ibrav = 0, nat = 4, ntyp = 3
/
ATOMIC_SPECIES
Co 58.93 Co.upf
Ni 58.69 Ni.upf
Bi 208.98 Bi.upf
CELL_PARAMETERS angstrom
0.000 3.373 3.373
3.373 0.000 3.373
3.373 3.373 0.000
ATOMIC_POSITIONS crystal
Co 0.000 0.000 0.000
Ni 0.500 0.500 0.500
Bi 0.250 0.250 0.250
Bi 0.750 0.750 0.750
```

Results
- total magnetic moment (μB/cell) = 0.77
- energy relative to the elements (meV per atom) = 414
- relative energy among the computed polymorphs (eV/atom) = 0.000
- space-group type = Fm-3m, No. 225



Entry 5:
First-principles (PBE) data for crystalline VTcOs2 at its relaxed geometry, as listed in Alexandria. Values from VASP.

The structure in Quantum ESPRESSO input format:
```
&SYSTEM
  ibrav = 0, nat = 8, ntyp = 3
/
ATOMIC_SPECIES
V 50.94 V.upf
Tc 98.00 Tc.upf
Os 190.23 Os.upf
CELL_PARAMETERS angstrom
-1.900 1.900 8.695
1.900 -1.900 8.695
1.900 1.900 -8.695
ATOMIC_POSITIONS crystal
V 0.000 0.000 0.000
V 0.750 0.250 0.500
Tc 0.250 0.750 0.500
Tc 0.500 0.500 0.000
Os 0.102 0.625 0.977
Os 0.375 0.352 0.477
Os 0.648 0.125 0.023
Os 0.875 0.898 0.523
```

Results
- total magnetic moment (μB/cell) = 0.00
- energy relative to the elements (meV per atom) = 687
- relative energy among the computed polymorphs (eV/atom) = 0.736
- space-group type = I-42d, No. 122



Entry 6:
First-principles (PBE) data for crystalline MnTe2Mo at its relaxed geometry, as listed in Alexandria. Values from VASP.

The structure in Quantum ESPRESSO input format:
```
&SYSTEM
  ibrav = 0, nat = 4, ntyp = 3
/
ATOMIC_SPECIES
Mn 54.94 Mn.upf
Te 127.60 Te.upf
Mo 95.94 Mo.upf
CELL_PARAMETERS angstrom
3.372 0.000 0.000
0.000 3.368 0.000
-0.034 0.000 6.849
ATOMIC_POSITIONS crystal
Mn 0.000 0.000 0.000
Te 0.496 0.500 0.258
Te 0.504 0.500 0.742
Mo 0.000 0.000 0.500
```

Results
- total magnetic moment (μB/cell) = 3.57
- relative energy among the computed polymorphs (eV/atom) = 0.323
- space-group type = P2/m, No. 10
- formation energy without anion corrections (eV per atom) = 0.2751



Entry 7:
First-principles (PBE) data for crystalline YCo2Ag at its relaxed geometry, as listed in Alexandria. Values from VASP.

The structure in Quantum ESPRESSO input format:
```
&SYSTEM
  ibrav = 0, nat = 4, ntyp = 3
/
ATOMIC_SPECIES
Y 88.91 Y.upf
Co 58.93 Co.upf
Ag 107.87 Ag.upf
CELL_PARAMETERS angstrom
1.564 0.903 8.347
-1.564 0.903 8.347
0.000 -1.806 8.347
ATOMIC_POSITIONS crystal
Y 0.000 0.000 0.000
Co 0.248 0.248 0.248
Co 0.752 0.752 0.752
Ag 0.500 0.500 0.500
```

Results
- total magnetic moment (μB/cell) = 2.63
- energy relative to the elements (meV per atom) = 609
- relative energy among the computed polymorphs (eV/atom) = 0.497
- space-group type = R-3m, No. 166



Entry 8:
First-principles (PBE) data for crystalline AcTb6Nd5 at its relaxed geometry, as listed in Alexandria. Values from VASP.

The structure in Quantum ESPRESSO input format:
```
&SYSTEM
  ibrav = 0, nat = 12, ntyp = 3
/
ATOMIC_SPECIES
Ac 227.00 Ac.upf
Tb 158.93 Tb.upf
Nd 144.24 Nd.upf
CELL_PARAMETERS angstrom
3.167 -5.487 0.000
3.167 5.487 0.000
-2.108 0.000 11.792
ATOMIC_POSITIONS crystal
Ac 0.000 0.000 0.000
Tb 0.084 0.420 0.253
Tb 0.251 0.251 0.747
Tb 0.420 0.084 0.253
Tb 0.580 0.916 0.747
Tb 0.749 0.749 0.253
Tb 0.916 0.580 0.747
Nd 0.167 0.833 0.500
Nd 0.333 0.667 0.000
Nd 0.500 0.500 0.500
Nd 0.667 0.333 0.000
Nd 0.833 0.167 0.500
```

Results
- total magnetic moment (μB/cell) = 0.00
- energy relative to the elements (meV per atom) = 19
- space-group type = C2/m, No. 12



Entry 9:
First-principles (PBE) data for crystalline Na3Pm2InO6 at its relaxed geometry, as listed in Alexandria. Values from VASP.

The structure in Quantum ESPRESSO input format:
```
&SYSTEM
  ibrav = 0, nat = 12, ntyp = 4
/
ATOMIC_SPECIES
Na 22.99 Na.upf
Pm 145.00 Pm.upf
In 114.82 In.upf
O 16.00 O.upf
CELL_PARAMETERS angstrom
2.996 -5.201 0.000
2.996 5.201 0.000
-1.961 0.000 5.635
ATOMIC_POSITIONS crystal
Na 0.000 0.000 0.000
Na 0.345 0.655 0.000
Na 0.655 0.345 0.000
Pm 0.167 0.833 0.500
Pm 0.833 0.167 0.500
In 0.500 0.500 0.500
O 0.109 0.429 0.283
O 0.250 0.250 0.715
O 0.429 0.109 0.283
O 0.571 0.891 0.717
O 0.750 0.750 0.285
O 0.891 0.571 0.717
```

Results
- total magnetic moment (μB/cell) = 0.00
- space-group type = C2/m, No. 12
- formation energy without anion corrections (eV per atom) = -2.2795



Entry 10:
First-principles (PBE) data for crystalline Y2PRh at its relaxed geometry, as listed in Alexandria. Values from VASP.

The structure in Quantum ESPRESSO input format:
```
&SYSTEM
  ibrav = 0, nat = 4, ntyp = 3
/
ATOMIC_SPECIES
Y 88.91 Y.upf
P 30.97 P.upf
Rh 102.91 Rh.upf
CELL_PARAMETERS angstrom
3.527 0.000 0.000
0.000 3.527 0.000
0.000 0.000 6.612
ATOMIC_POSITIONS crystal
Y 0.000 0.000 0.245
Y 0.000 0.000 0.755
P 0.500 0.500 0.000
Rh 0.500 0.500 0.500
```

Results
- total magnetic moment (μB/cell) = 0.00
- energy relative to the elements (meV per atom) = -965
- space-group type = P4/mmm, No. 123



Entry 11:
First-principles (PBE) data for crystalline ReAu3 at its relaxed geometry, as listed in Alexandria. Values from VASP.

The structure in Quantum ESPRESSO input format:
```
&SYSTEM
  ibrav = 0, nat = 4, ntyp = 2
/
ATOMIC_SPECIES
Re 186.21 Re.upf
Au 196.97 Au.upf
CELL_PARAMETERS angstrom
-2.116 2.116 3.857
2.116 -2.116 3.857
2.116 2.116 -3.857
ATOMIC_POSITIONS crystal
Re 0.000 0.000 0.000
Au 0.250 0.750 0.500
Au 0.500 0.500 0.000
Au 0.750 0.250 0.500
```

Results
- total magnetic moment (μB/cell) = 1.83
- energy relative to the elements (meV per atom) = 638
- space-group type = I4/mmm, No. 139



Entry 12:
First-principles (PBE) data for crystalline Sr2CaTl at its relaxed geometry, as listed in Alexandria. Values from VASP.

The structure in Quantum ESPRESSO input format:
```
&SYSTEM
  ibrav = 0, nat = 4, ntyp = 3
/
ATOMIC_SPECIES
Sr 87.62 Sr.upf
Ca 40.08 Ca.upf
Tl 204.38 Tl.upf
CELL_PARAMETERS angstrom
5.835 0.000 0.000
0.000 5.835 0.000
0.000 0.000 4.554
ATOMIC_POSITIONS crystal
Sr 0.000 0.500 0.000
Sr 0.500 0.000 0.000
Ca 0.000 0.000 0.500
Tl 0.500 0.500 0.500
```

Results
- total magnetic moment (μB/cell) = 0.00
- energy relative to the elements (meV per atom) = -171
- relative energy among the computed polymorphs (eV/atom) = 0.062
- space-group type = P4/mmm, No. 123